Record 1
# DyGaBi

A relaxed DyGaBi crystal (PBE-GGA, Alexandria).

The structure belongs to space group P3m1 (No. 156); the cell edges are 4.8844, 4.8844 and 3.9074 Å and the angles 90.00°, 90.00° and 120.00°. The inequivalent atoms are Dy at (0.0000, 0.0000, 0.0000), Ga at (0.6667, 0.3333, 0.6633) and Bi at (0.3333, 0.6667, 0.4575).

The calculation puts the final energy at -4.15 eV per atom. The value obtained for the density of states at the Fermi level is 1.7 states/eV/f.u.

Record 2
# DyGa2Bi

A relaxed DyGa2Bi crystal (PBE-GGA, Alexandria).

The structure belongs to space group P4/mmm (No. 123); the cell edges are 4.627, 4.627 and 4.388 Å and the angles 90.00°, 90.00° and 90.00°. The inequivalent atoms are Dy at (0.000, 0.000, 0.000), Ga at (0.000, 0.500, 0.500) and Bi at (0.500, 0.500, 0.000).

The calculation puts the final energy at -4.04 eV per atom. The value obtained for the density of states at the Fermi level is 1.2 states/eV/f.u. For the excess energy over the best structure of this formula in the dataset, the calculation gives 0.0000 eV per atom.

Record 3
# DyGaBi2

A relaxed DyGaBi2 crystal (PBE-GGA, Alexandria).

The structure belongs to space group P4/mmm (No. 123); the cell edges are 4.180, 4.180 and 6.350 Å and the angles 90.00°, 90.00° and 90.00°. The inequivalent atoms are Dy at (0.000, 0.000, 0.000), Ga at (0.000, 0.000, 0.500) and Bi at (0.500, 0.500, 0.249).

The calculation puts the final energy at -4.21 eV per atom. The value obtained for the density of states at the Fermi level is 2.5 states/eV/f.u. For the excess energy over the best structure of this formula in the dataset, the calculation gives 0.0000 eV per atom.

Record 4
# DyGa2Bi

A relaxed DyGa2Bi crystal (PBE-GGA, Alexandria).

The structure belongs to space group R-3m (No. 166, hexagonal axes); the cell edges are 5.2172, 5.2172 and 12.5710 Å and the angles 90.00°, 90.00° and 120.00°. The inequivalent atoms are Dy at (0.0000, 0.0000, 0.0000), Ga at (0.0000, 0.0000, 0.2497) and Bi at (0.0000, 0.0000, 0.5000).

The calculation puts the final energy at -3.80 eV per atom. The value obtained for the density of states at the Fermi level is 3.8 states/eV/f.u. For the excess energy over the best structure of this formula in the dataset, the calculation gives 0.2469 eV per atom.

Among the records above, which one has the lowest final energy? DyGaBi2